# 1
## TlB3W (PBE-GGA)

Data for crystalline TlB3W at its relaxed geometry.

E_form   1.258 eV per atom
Space-group type   Pm-3m, No. 221
Relative energy among the computed polymorphs   0 meV/atom
Total moment   0.00 Bohr magnetons per cell

abc: 4.340 4.340 4.340
angles: 90.00 90.00 90.00
Atoms (fractional coordinates):
Tl 0.500 0.500 0.500
B 0.000 0.500 0.000
B 0.000 0.000 0.500
B 0.500 0.000 0.000
W 0.000 0.000 0.000

# 2
## VGa2Ir (PBE-GGA)

Data for crystalline VGa2Ir at its relaxed geometry.

E_form   -0.242 eV per atom
Space-group type   P4/mmm, No. 123
Total moment   0.00 Bohr magnetons per cell

abc: 2.917 2.917 6.749
angles: 90.00 90.00 90.00
Atoms (fractional coordinates):
Ir 0.500 0.500 0.000
Ga 0.000 0.000 0.759
Ga 0.000 0.000 0.241
V 0.500 0.500 0.500

# 3
## PrNpPdO6 (PBE-GGA)

Data for crystalline PrNpPdO6 at its relaxed geometry.

Space-group type   P-31c, No. 163
ΔE_f (raw)   -2.241 eV per atom
Total moment   4.07 Bohr magnetons per cell

abc: 5.406 5.406 10.621
angles: 90.00 90.00 120.00
Each line ends with the local moment (μB).
Atoms (fractional coordinates):
Pr 0.000 0.000 0.000  0.01
Pr 0.000 0.000 0.500  0.01
Np 0.667 0.333 0.250  1.38
Np 0.333 0.667 0.750  1.38
Pd 0.333 0.667 0.250  0.50
Pd 0.667 0.333 0.750  0.50
O 0.649 0.644 0.140  0.01
O 0.995 0.351 0.140  0.01
O 0.351 0.995 0.640  0.01
O 0.005 0.649 0.860  0.01
O 0.356 0.351 0.360  0.01
O 0.995 0.644 0.360  0.01
O 0.644 0.995 0.860  0.01
O 0.649 0.005 0.360  0.01
O 0.005 0.356 0.640  0.01
O 0.356 0.005 0.140  0.01
O 0.644 0.649 0.640  0.01
O 0.351 0.356 0.860  0.01

# 4
## SrSbSe (PBE-GGA)

Data for crystalline SrSbSe at its relaxed geometry.

Space-group type   F-43m, No. 216
ΔE_f (raw)   -0.426 eV per atom
Total moment   0.00 Bohr magnetons per cell

abc: 5.280 5.280 5.280
angles: 60.00 60.00 60.00
Atoms (fractional coordinates):
Sb 0.000 0.000 0.000
Se 0.500 0.500 0.500
Sr 0.750 0.750 0.750

# 5
## Tb5YTm6 (PBE-GGA)

Data for crystalline Tb5YTm6 at its relaxed geometry.

E_form   0.022 eV per atom
Space-group type   C2/m, No. 12
Relative energy among the computed polymorphs   0 meV/atom
Total moment   0.00 Bohr magnetons per cell

abc: 11.655 6.112 6.107
angles: 59.97 85.00 79.97
Atoms (fractional coordinates):
Tb 0.500 0.167 0.667
Tb 0.000 0.333 0.333
Tb 0.500 0.500 0.000
Tb 0.000 0.667 0.667
Tb 0.500 0.833 0.333
Y 0.000 0.000 0.000
Tm 0.750 0.083 0.334
Tm 0.250 0.583 0.334
Tm 0.250 0.251 0.000
Tm 0.750 0.749 0.000
Tm 0.750 0.417 0.666
Tm 0.250 0.917 0.666

# 6
## PH2Br (PBE-GGA)

Data for crystalline PH2Br at its relaxed geometry.

Space-group type   Imma, No. 74
Relative energy among the computed polymorphs   149 meV/atom
Total moment   0.00 Bohr magnetons per cell

abc: 4.319 6.423 6.423
angles: 115.87 109.66 109.66
Atoms (fractional coordinates):
P 0.254 0.287 0.217
P 0.754 0.217 0.287
H 0.969 0.353 0.580
H 0.469 0.580 0.353
H 0.540 0.924 0.151
H 0.040 0.151 0.924
Br 0.254 0.896 0.607
Br 0.754 0.607 0.896

> Which value of total moment does entry 4 give?

0.00 Bohr magnetons per cell